First-principles (GGA-PBE) data for a relaxed structure of Sc4PdPt2Rh, as listed in the Alexandria database.

Lattice parameters (Å, degrees): 4.6470 4.6470 8.0413 73.21 73.21 60.00
Closest atoms and distances in Å follow each position.
Atoms (fractional coordinates):
Sc: 0.8738 0.8738 0.3786  4 Pt 2.81-2.85, 3 Rh 2.84, 1 Pd 2.87
Pt: 0.2499 0.2499 0.2502  8 Sc 2.81-2.88
Sc: 0.1262 0.1262 0.6214  4 Pt 2.81-2.85, 3 Rh 2.84, 1 Pd 2.87
Rh: 0.5000 0.5000 0.5000  8 Sc 2.81-2.84
Sc: 0.6236 0.6236 0.1291  1 Rh 2.81, 4 Pt 2.84-2.88, 3 Pd 2.86
Sc: 0.3764 0.3764 0.8709  1 Rh 2.81, 4 Pt 2.84-2.88, 3 Pd 2.86
Pd: 0.0000 0.0000 0.0000  8 Sc 2.86-2.87
Pt: 0.7501 0.7501 0.7498  8 Sc 2.81-2.88

SG = R-3m, No. 166
Spin magnetization = 0.0 μB per cell
Formation energy = -1.11 eV per atom

First-principles (GGA-PBE) data for a relaxed structure of Sc2PdPtRh, as listed in the Alexandria database.

Lattice parameters (Å, degrees): 4.7587 4.8322 4.7587 90.00 90.00 90.00
Closest atoms and distances in Å follow each position.
Atoms (fractional coordinates):
Sc: 0.5000 0.0000 0.0000  2 Rh 2.38
Rh: 0.0000 0.0000 0.0000  4 Sc 2.38, 2 Pd 2.42
Sc: 0.0000 0.0000 0.5000  2 Rh 2.38
Pt: 0.5000 0.5000 0.5000  4 Pd 3.36, 8 Sc 3.39
Pd: 0.0000 0.5000 0.0000  2 Rh 2.42

SG = P4/mmm, No. 123
Spin magnetization = 0.0 μB per cell
Formation energy = 0.07 eV per atom

First-principles (GGA-PBE) data for a relaxed structure of Pd2PtRhSe8, as listed in the Alexandria database.

Lattice parameters (Å, degrees): 7.1862 7.1862 7.1862 110.50 110.50 107.44
Closest atoms and distances in Å follow each position.
Atoms (fractional coordinates):
Pd: 0.5000 0.5000 0.0000  4 Se 2.43
Rh: 0.0000 0.0000 0.0000  8 Se 2.65-2.66
Se: 0.9041 0.7350 0.1691  1 Pd 2.43, 1 Rh 2.65, 1 Pt 2.71
Se: 0.2650 0.0959 0.8309  1 Pd 2.43, 1 Rh 2.65, 1 Pt 2.71
Pd: 0.7500 0.2500 0.5000  4 Se 2.44
Se: 0.9812 0.6568 0.6756  1 Pd 2.44, 1 Rh 2.66, 1 Pt 2.70
Se: 0.6945 0.0188 0.6756  1 Pd 2.44, 1 Rh 2.66, 1 Pt 2.70
Pt: 0.2500 0.7500 0.5000  8 Se 2.70-2.71
Se: 0.2650 0.4341 0.1691  1 Pd 2.43, 1 Rh 2.65, 1 Pt 2.71
Se: 0.5659 0.7350 0.8309  1 Pd 2.43, 1 Rh 2.65, 1 Pt 2.71
Se: 0.9812 0.3055 0.3244  1 Pd 2.44, 1 Rh 2.66, 1 Pt 2.70
Se: 0.3432 0.0188 0.3244  1 Pd 2.44, 1 Rh 2.66, 1 Pt 2.70

E_form (uncorrected) = 0.147 eV/atom
SG = I-4m2, No. 119
Spin magnetization = 0.0 μB per cell

First-principles (GGA-PBE) data for a relaxed structure of Si2PdPt4Rh, as listed in the Alexandria database.

Lattice parameters (Å, degrees): 3.9556 3.9556 8.4534 90.00 90.00 90.00
Closest atoms and distances in Å follow each position.
Atoms (fractional coordinates):
Pt: 0.0000 0.5000 0.2181  2 Si 2.34
Rh: 0.0000 0.0000 0.5000  8 Si 3.01, 8 Pt 3.10
Pd: 0.0000 0.0000 0.0000  8 Pt 2.70
Pt: 0.5000 0.0000 0.7819  2 Si 2.34
Pt: 0.0000 0.5000 0.7819  2 Si 2.34
Si: 0.5000 0.5000 0.6328  1 Si 2.25, 4 Pt 2.34
Si: 0.5000 0.5000 0.3672  1 Si 2.25, 4 Pt 2.34
Pt: 0.5000 0.0000 0.2181  2 Si 2.34

E_form (uncorrected) = -0.211 eV/atom
SG = P4/mmm, No. 123
Spin magnetization = 0.0 μB per cell

First-principles (GGA-PBE) data for a relaxed structure of SiPdPtRh, as listed in the Alexandria database.

Lattice parameters (Å, degrees): 2.8494 2.8494 7.0348 90.00 90.00 90.00
Closest atoms and distances in Å follow each position.
Atoms (fractional coordinates):
Pd: 0.6461 0.3539 0.0118  4 Si 2.54
Pt: 0.1463 0.8537 0.7179  4 Pt 2.85, 4 Rh 2.87, 4 Pd 2.89
Si: 0.1463 0.8537 0.2313  4 Rh 2.44, 4 Pd 2.54
Rh: 0.6463 0.3537 0.4278  4 Si 2.44

E_form (uncorrected) = -0.437 eV/atom
SG = P4mm, No. 99
Spin magnetization = 0.0 μB per cell

First-principles (GGA-PBE) data for a relaxed structure of SmPdPtRh, as listed in the Alexandria database.

Lattice parameters (Å, degrees): 4.6771 4.6771 4.6771 60.00 60.00 60.00
Closest atoms and distances in Å follow each position.
Atoms (fractional coordinates):
Pt: 0.2500 0.2500 0.2500  4 Rh 2.86, 4 Pd 2.86
Rh: 0.0000 0.0000 0.0000  4 Pt 2.86, 4 Sm 2.86
Sm: 0.7500 0.7500 0.7500  4 Rh 2.86, 4 Pd 2.86
Pd: 0.5000 0.5000 0.5000  4 Pt 2.86, 4 Sm 2.86

SG = F-43m, No. 216
Spin magnetization = 0.0 μB per cell
Formation energy = -0.53 eV per atom

First-principles (GGA-PBE) data for a relaxed structure of Sn2Pd2PtRh, as listed in the Alexandria database.

Lattice parameters (Å, degrees): 4.2442 5.8187 8.2816 90.00 90.00 90.00
Closest atoms and distances in Å follow each position.
Atoms (fractional coordinates):
Sn: 0.0000 0.3131 0.8550  2 Pt 2.70, 1 Rh 2.72, 6 Pd 2.73-2.96
Pt: 0.5000 0.6610 0.3170  4 Sn 2.67-2.70, 2 Rh 2.95, 1 Pd 2.98
Sn: 0.5000 0.7026 0.6380  2 Pt 2.67-2.69, 4 Rh 2.70-2.97, 3 Pd 2.72-2.80
Rh: 0.0000 0.9510 0.4582  5 Sn 2.70-2.97, 2 Pt 2.95, 2 Rh 2.99
Pt: 0.5000 0.1610 0.6830  4 Sn 2.67-2.70, 2 Rh 2.95, 1 Pd 2.98
Pd: 0.0000 0.3472 0.1835  4 Sn 2.72-2.73, 2 Pd 2.92, 2 Pt 3.01, 1 Rh 3.03
Sn: 0.5000 0.2026 0.3620  2 Pt 2.67-2.69, 4 Rh 2.70-2.97, 3 Pd 2.72-2.80
Rh: 0.0000 0.4510 0.5418  5 Sn 2.70-2.97, 2 Pt 2.95, 2 Rh 2.99
Sn: 0.0000 0.8131 0.1450  2 Pt 2.70, 1 Rh 2.72, 6 Pd 2.73-2.96
Pd: 0.5000 0.0709 0.0375  5 Sn 2.75-2.96, 4 Pd 2.92-2.97, 1 Pt 2.98
Pd: 0.5000 0.5709 0.9625  5 Sn 2.75-2.96, 4 Pd 2.92-2.97, 1 Pt 2.98
Pd: 0.0000 0.8472 0.8165  4 Sn 2.72-2.73, 2 Pd 2.92, 2 Pt 3.01, 1 Rh 3.03

SG = Pmc2_1, No. 26
Spin magnetization = 0.0 μB per cell
Formation energy = -0.48 eV per atom

First-principles (GGA-PBE) data for a relaxed structure of SnPd2PtRh, as listed in the Alexandria database.

Lattice parameters (Å, degrees): 3.6173 3.6173 7.2454 104.46 104.46 90.00
Closest atoms and distances in Å follow each position.
Atoms (fractional coordinates):
Rh: 0.9032 0.9032 0.8064  1 Pt 2.66, 4 Pd 2.73, 4 Sn 2.84
Pd: 0.7521 0.2521 0.5042  4 Pd 2.56, 2 Rh 2.73, 2 Pt 2.75
Pd: 0.2521 0.7521 0.5042  4 Pd 2.56, 2 Rh 2.73, 2 Pt 2.75
Sn: 0.4934 0.4934 0.9868  4 Rh 2.84, 4 Pt 2.93
Pt: 0.0992 0.0992 0.1984  1 Rh 2.66, 4 Pd 2.75, 4 Sn 2.93

SG = I4mm, No. 107
Spin magnetization = 0.0 μB per cell
Formation energy = 0.08 eV per atom

First-principles (GGA-PBE) data for a relaxed structure of Sn2PdPt2Rh, as listed in the Alexandria database.

Lattice parameters (Å, degrees): 4.2465 5.8095 8.3147 90.00 90.00 90.00
Closest atoms and distances in Å follow each position.
Atoms (fractional coordinates):
Pt: 0.0000 0.8502 0.8174  4 Sn 2.73-2.75, 2 Pt 2.92, 2 Pd 2.99, 1 Rh 3.03
Pt: 0.5000 0.5730 0.9604  5 Sn 2.74-2.99, 4 Pt 2.92-2.98, 1 Pd 2.99
Rh: 0.0000 0.4474 0.5409  5 Sn 2.70-2.95, 2 Pd 2.96, 2 Rh 2.98
Sn: 0.0000 0.3168 0.8525  1 Rh 2.70, 2 Pd 2.70, 6 Pt 2.73-2.99
Pt: 0.5000 0.0730 0.0396  5 Sn 2.74-2.99, 4 Pt 2.92-2.98, 1 Pd 2.99
Sn: 0.5000 0.7006 0.6349  2 Pd 2.67-2.69, 4 Rh 2.70-2.95, 3 Pt 2.75-2.81
Rh: 0.0000 0.9474 0.4591  5 Sn 2.70-2.95, 2 Pd 2.96, 2 Rh 2.98
Sn: 0.5000 0.2006 0.3651  2 Pd 2.67-2.69, 4 Rh 2.70-2.95, 3 Pt 2.75-2.81
Sn: 0.0000 0.8168 0.1475  1 Rh 2.70, 2 Pd 2.70, 6 Pt 2.73-2.99
Pt: 0.0000 0.3502 0.1826  4 Sn 2.73-2.75, 2 Pt 2.92, 2 Pd 2.99, 1 Rh 3.03
Pd: 0.5000 0.1576 0.6845  4 Sn 2.67-2.70, 2 Rh 2.96, 2 Pt 2.99
Pd: 0.5000 0.6576 0.3155  4 Sn 2.67-2.70, 2 Rh 2.96, 2 Pt 2.99

SG = Pmc2_1, No. 26
Spin magnetization = 0.0 μB per cell
Formation energy = -0.42 eV per atom

First-principles (GGA-PBE) data for a relaxed structure of TaPd2PtRh, as listed in the Alexandria database.

Lattice parameters (Å, degrees): 4.4931 4.8720 7.4629 108.80 90.00 90.00
Closest atoms and distances in Å follow each position.
Atoms (fractional coordinates):
Pd: 0.7500 0.3691 0.3960  5 Pd 2.76-2.87, 1 Rh 2.77, 4 Pt 2.78-2.85, 2 Ta 2.81-2.83
Pt: 0.7500 0.9672 0.6023  3 Ta 2.77-2.87, 6 Pd 2.78-2.85, 2 Pt 2.79, 1 Rh 2.84
Rh: 0.2500 0.8238 0.9961  5 Pd 2.74-2.85, 4 Ta 2.75-2.79, 2 Rh 2.82, 1 Pt 2.84
Rh: 0.7500 0.1762 0.0039  5 Pd 2.74-2.85, 4 Ta 2.75-2.79, 2 Rh 2.82, 1 Pt 2.84
Ta: 0.2500 0.2275 0.8044  4 Rh 2.75-2.79, 3 Pt 2.77-2.87, 5 Pd 2.78-2.83
Pd: 0.7500 0.5698 0.8024  4 Rh 2.74-2.85, 3 Pd 2.76-2.87, 3 Ta 2.78-2.80, 2 Pt 2.80-2.83
Pd: 0.2500 0.6309 0.6040  5 Pd 2.76-2.87, 1 Rh 2.77, 4 Pt 2.78-2.85, 2 Ta 2.81-2.83
Ta: 0.7500 0.7725 0.1956  4 Rh 2.75-2.79, 3 Pt 2.77-2.87, 5 Pd 2.78-2.83
Pd: 0.2500 0.4302 0.1976  4 Rh 2.74-2.85, 3 Pd 2.76-2.87, 3 Ta 2.78-2.80, 2 Pt 2.80-2.83
Pt: 0.2500 0.0328 0.3977  3 Ta 2.77-2.87, 6 Pd 2.78-2.85, 2 Pt 2.79, 1 Rh 2.84

SG = P2_1/m, No. 11
Spin magnetization = 0.0 μB per cell
Formation energy = -0.45 eV per atom

First-principles (GGA-PBE) data for a relaxed structure of TcPdPtRh, as listed in the Alexandria database.

Lattice parameters (Å, degrees): 2.7382 2.7382 7.9200 90.00 90.00 90.00
Closest atoms and distances in Å follow each position.
Atoms (fractional coordinates):
Rh: 0.5000 0.5000 0.3348  4 Tc 2.65, 4 Rh 2.74, 4 Pd 2.82
Pd: 0.0000 0.0000 0.0752  4 Pd 2.74, 4 Rh 2.82, 4 Pt 2.85
Tc: 0.0000 0.0000 0.5641  4 Rh 2.65, 4 Tc 2.74, 4 Pt 2.75
Pt: 0.5000 0.5000 0.8106  4 Pt 2.74, 4 Tc 2.75, 4 Pd 2.85

SG = P4mm, No. 99
Spin magnetization = 0.0 μB per cell
Formation energy = -0.14 eV per atom

First-principles (GGA-PBE) data for a relaxed structure of TiPdPtRh, as listed in the Alexandria database.

Lattice parameters (Å, degrees): 3.8525 3.8938 3.9688 90.00 90.00 90.00
Closest atoms and distances in Å follow each position.
Atoms (fractional coordinates):
Rh: 0.5000 0.0000 0.5000  4 Ti 2.74, 4 Pd 2.77, 4 Pt 2.78
Pd: 0.0000 0.0000 0.0000  4 Pt 2.74, 4 Rh 2.77, 4 Ti 2.78
Ti: 0.0000 0.5000 0.5000  4 Rh 2.74, 4 Pt 2.77, 4 Pd 2.78
Pt: 0.5000 0.5000 0.0000  4 Pd 2.74, 4 Ti 2.77, 4 Rh 2.78

SG = Pmmm, No. 47
Spin magnetization = 0.0 μB per cell
Formation energy = -0.73 eV per atom